# Cr4SiF2, optimized geometry, DFT GGA+U
# Calculated total energy   -0.430 Ry per atom
# Calculated volume   20.404 A^3/atom
data_Cr4SiF2
_cell_length_a 4.966
_cell_length_b 4.966
_cell_length_c 11.584
_cell_angle_alpha 90.00
_cell_angle_beta 90.00
_cell_angle_gamma 90.00
_space_group_name_H-M_alt 'I 4/m m m'
_space_group_IT_number 139
_space_group_name_Hall '-I 4 2'
loop_
_atom_site_label
_atom_site_fract_x
_atom_site_fract_y
_atom_site_fract_z
Cr1 0.000 0.000 0.213
Cr2 0.000 0.500 0.000
Si1 0.000 0.000 0.000
F1 0.000 0.000 0.386